No. 1
Compound: Ba4Sb2I3
Source: Alexandria via LeMat-Bulk
Functional: PBE
Structure: optimized geometry

Structure (POSCAR):
```
Ba4Sb2I3
1.0
5.0224 -0.0007 0.0047
-2.5119 4.3491 -0.0047
-0.0040 0.0023 20.6394
Ba Sb I
4 2 3
direct
0.3337 0.6663 0.8829
0.9994 0.0006 0.3139
0.0006 0.9994 0.6861
0.6663 0.3337 0.1171
0.6672 0.3328 0.7932
0.3328 0.6672 0.2068
0.6659 0.3341 0.4046
0.0000 0.0000 0.0000
0.3341 0.6659 0.5954
```

space-group type = C2/m
formation energy (no corrections) = -1.34 eV per atom
DOS(E_F) = 0.729 states/eV/atom

---

No. 2
Compound: KNbRh2
Source: Alexandria via LeMat-Bulk
Functional: PBE
Structure: optimized geometry

Structure (POSCAR):
```
KNbRh2
1.0
1.5632 -3.9684 1.9021
-0.0354 -0.5384 4.6388
-3.0004 -2.9798 1.9820
Nb Rh K
1 2 1
direct
0.5000 0.5000 0.5000
0.2500 0.2500 0.2500
0.7500 0.7500 0.7500
0.0000 0.0000 0.0000
```

space-group type = Fm-3m
E above lowest polymorph = 0.0179 eV/atom
energy of formation = 2.385 eV per formula unit
DOS(E_F) = 0.534 states/eV/atom

---

no.,size of the total moment (μB per formula unit)
1,0.96
2,0.00